First-principles (PBE-GGA) data for a relaxed KSrCo3 crystal, as listed in Alexandria.

Summary:
space-group type: No. 221
crystal system: cubic
relative energy among the computed polymorphs: 0.000 eV/atom
energy of formation from the pure elements: 1.853 eV per atom

abc: 5.5475 5.5475 5.5475
angles: 90.00 90.00 90.00
Closest atoms and distances in Å follow each position.
Sites, in units of the cell vectors:
K (0.0000, 0.0000, 0.0000)  12 Co 3.92
Sr (0.5000, 0.5000, 0.5000)  6 Co 2.77
Co (0.0000, 0.5000, 0.5000)  2 Sr 2.77
Co (0.5000, 0.0000, 0.5000)  2 Sr 2.77
Co (0.5000, 0.5000, 0.0000)  2 Sr 2.77



First-principles (PBE-GGA) data for a relaxed KSrCoTe2 crystal, as listed in Alexandria.

Summary:
uncorrected formation energy: 0.59 eV per atom
space-group type: No. 123
crystal system: tetragonal

abc: 6.1328 6.1328 6.7772
angles: 90.00 90.00 90.00
Closest atoms and distances in Å follow each position.
Sites, in units of the cell vectors:
K (0.0000, 0.0000, 0.0000)  2 Sr 3.39
Sr (0.0000, 0.0000, 0.5000)  4 Te 3.07, 2 K 3.39
Co (0.5000, 0.5000, 0.0000)  4 K 4.34, 8 Te 4.57
Te (0.0000, 0.5000, 0.5000)  2 Sr 3.07
Te (0.5000, 0.0000, 0.5000)  2 Sr 3.07



First-principles (PBE-GGA) data for a relaxed K2SrCoW crystal, as listed in Alexandria.

Summary:
space-group type: No. 123
crystal system: tetragonal
energy of formation from the pure elements: 1.768 eV per atom

abc: 5.8711 5.8711 5.8018
angles: 90.00 90.00 90.00
Closest atoms and distances in Å follow each position.
Sites, in units of the cell vectors:
K (0.0000, 0.5000, 0.0000)  2 Co 2.94
K (0.5000, 0.0000, 0.0000)  2 Co 2.94
Sr (0.0000, 0.0000, 0.5000)  2 Co 2.90
Co (0.0000, 0.0000, 0.0000)  2 Sr 2.90, 4 K 2.94
W (0.5000, 0.5000, 0.5000)  8 K 4.13, 4 Sr 4.15



First-principles (PBE-GGA) data for a relaxed KSrZnCo2 crystal, as listed in Alexandria.

Summary:
space-group type: No. 123
crystal system: tetragonal
energy of formation from the pure elements: 0.866 eV per atom

abc: 4.8083 4.8083 5.3883
angles: 90.00 90.00 90.00
Closest atoms and distances in Å follow each position.
Sites, in units of the cell vectors:
K (0.0000, 0.0000, 0.0000)  2 Zn 2.69
Sr (0.5000, 0.5000, 0.0000)  4 K 3.40, 8 Co 3.61
Zn (0.0000, 0.0000, 0.5000)  4 Co 2.40
Co (0.0000, 0.5000, 0.5000)  2 Zn 2.40
Co (0.5000, 0.0000, 0.5000)  2 Zn 2.40



Number 1: volume 170.7 Å³ per cell, spin magnetization 6.00 Bohr magnetons per cell. Number 2: volume 254.9 Å³ per cell, spin magnetization 3.49 Bohr magnetons per cell. Number 3: volume 200.0 Å³ per cell, spin magnetization 6.24 Bohr magnetons per cell. Number 4: volume 124.6 Å³ per cell, spin magnetization 2.51 Bohr magnetons per cell.